[1]
Crystalline PrV2PbO8 at its relaxed geometry. Source: Alexandria, functional PBE with a Hubbard U.

Unit cell a=5.934 b=5.934 c=6.891 alpha=90.00 beta=90.00 gamma=120.00
Sites, in units of the cell vectors:
1 O 0.667 0.333 0.940
2 O 0.832 0.665 0.258
3 O 0.168 0.832 0.742
4 O 0.333 0.667 0.060
5 O 0.335 0.168 0.258
6 O 0.168 0.335 0.742
7 O 0.665 0.832 0.742
8 O 0.832 0.168 0.258
9 Pr 0.000 0.000 0.500
10 V 0.667 0.333 0.179
11 V 0.333 0.667 0.821
12 Pb 0.000 0.000 0.000

Calculated values
- Spin magnetization: 0.0000 μB per atom
- Uncorrected energy: -7.21 eV/atom

---

[2]
Crystalline Pr2PbWO8 at its relaxed geometry. Source: Alexandria, functional PBE with a Hubbard U.

Unit cell a=5.082 b=5.079 c=7.109 alpha=89.14 beta=89.13 gamma=93.05
Sites, in units of the cell vectors:
1 O 0.794 0.149 0.209
2 O 0.709 0.709 0.522
3 O 0.274 0.275 0.032
4 O 0.206 0.851 0.791
5 O 0.150 0.795 0.209
6 O 0.726 0.725 0.968
7 O 0.850 0.205 0.791
8 O 0.291 0.291 0.478
9 Pb 0.000 0.000 0.500
10 Pr 0.538 0.539 0.241
11 Pr 0.462 0.461 0.759
12 W 0.000 0.000 0.000

Calculated values
- Spin magnetization: 0.0000 μB per atom
- Uncorrected energy: -7.25 eV/atom